This record from Alexandria via LeMat-Bulk describes a relaxed B2SbS2 crystal. The functional is PBE.

Calculated values
The total energy is -4.455 eV/atom. The magnetic moment is 0.0 μB per formula unit. The value obtained for the energy relative to the lowest polymorph listed for this composition is 0 meV per atom. Its uncorrected formation energy is 0.69 eV/atom.

Cell and atoms, written as CIF:
```
data_B2SbS2
_chemical_formula_sum 'B4 Sb2 S4'
_symmetry_space_group_name_H-M 'I 4/m m m'
_symmetry_Int_Tables_number 139
_symmetry_space_group_name_Hall '-I 4 2'
_cell_length_a 3.4529
_cell_length_b 3.4529
_cell_length_c 18.4918
_cell_angle_alpha 90.00
_cell_angle_beta 90.00
_cell_angle_gamma 90.00
loop_
_atom_site_label
_atom_site_type_symbol
_atom_site_fract_x
_atom_site_fract_y
_atom_site_fract_z
B1 B 0.0000 0.5000 0.2500
Sb1 Sb 0.0000 0.0000 0.0000
S1 S 0.0000 0.0000 0.3033
```

---

This record from Alexandria via LeMat-Bulk describes a relaxed CdTcRh2 crystal. The functional is PBE.

Calculated values
The total energy is -6.362 eV/atom. The magnetic moment is 0.0 μB per formula unit. Its formation energy is 0.134 eV per atom.

Cell and atoms, written as CIF:
```
data_CdTcRh2
_chemical_formula_sum 'Cd2 Tc2 Rh4'
_symmetry_space_group_name_H-M 'C 1 2/m 1'
_symmetry_Int_Tables_number 12
_symmetry_space_group_name_Hall '-C 2y'
_cell_length_a 9.1128
_cell_length_b 2.7516
_cell_length_c 5.0062
_cell_angle_alpha 90.00
_cell_angle_beta 98.21
_cell_angle_gamma 90.00
loop_
_atom_site_label
_atom_site_type_symbol
_atom_site_fract_x
_atom_site_fract_y
_atom_site_fract_z
Cd1 Cd 0.0000 0.0000 0.0000
Tc1 Tc 0.0000 0.5000 0.5000
Rh1 Rh 0.2457 0.0000 0.7296
```

---

This record from Alexandria via LeMat-Bulk describes a relaxed TlSi2Pb crystal. The functional is PBE.

Calculated values
The total energy is -3.817 eV/atom. The magnetic moment is 0.0 μB per formula unit. The value obtained for the energy relative to the lowest polymorph listed for this composition is 219 meV per atom. Its uncorrected formation energy is 0.41 eV/atom.

Cell and atoms, written as CIF:
```
data_TlSi2Pb
_chemical_formula_sum 'Tl2 Si4 Pb2'
_symmetry_space_group_name_H-M 'C 1 2/m 1'
_symmetry_Int_Tables_number 12
_symmetry_space_group_name_Hall '-C 2y'
_cell_length_a 10.8165
_cell_length_b 3.6754
_cell_length_c 6.6675
_cell_angle_alpha 90.00
_cell_angle_beta 120.28
_cell_angle_gamma 90.00
loop_
_atom_site_label
_atom_site_type_symbol
_atom_site_fract_x
_atom_site_fract_y
_atom_site_fract_z
Tl1 Tl 0.0000 0.0000 0.0000
Si1 Si 0.2382 0.5000 0.3769
Pb1 Pb 0.0000 0.5000 0.5000
```

---

This record from Alexandria via LeMat-Bulk describes a relaxed KPb5 crystal. The functional is PBE.

Calculated values
The total energy is -3.299 eV/atom. The magnetic moment is 0.0 μB per formula unit. The value obtained for the energy relative to the lowest polymorph listed for this composition is 18 meV per atom. Its formation energy is -0.026 eV per atom.

Cell and atoms, written as CIF:
```
data_KPb5
_chemical_formula_sum 'K2 Pb10'
_symmetry_space_group_name_H-M 'I m m m'
_symmetry_Int_Tables_number 71
_symmetry_space_group_name_Hall '-I 2 2'
_cell_length_a 5.7066
_cell_length_b 6.8993
_cell_length_c 9.9253
_cell_angle_alpha 90.00
_cell_angle_beta 90.00
_cell_angle_gamma 90.00
loop_
_atom_site_label
_atom_site_type_symbol
_atom_site_fract_x
_atom_site_fract_y
_atom_site_fract_z
K1 K 0.0000 0.0000 0.0000
Pb1 Pb 0.0000 0.2433 0.3345
Pb2 Pb 0.0000 0.5000 0.0000
```

---

This record from Alexandria via LeMat-Bulk describes a relaxed SrTaV2 crystal. The functional is PBE.

Calculated values
The total energy is -6.950 eV/atom. The magnetic moment is 3.8 μB per formula unit. The value obtained for the energy relative to the lowest polymorph listed for this composition is 0 meV per atom. Its formation energy is 0.993 eV per atom.

Cell and atoms, written as CIF:
```
data_SrTaV2
_chemical_formula_sum 'Sr4 Ta4 V8'
_symmetry_space_group_name_H-M 'F m -3 m'
_symmetry_Int_Tables_number 225
_symmetry_space_group_name_Hall '-F 4 2 3'
_cell_length_a 6.8178
_cell_length_b 6.8178
_cell_length_c 6.8178
_cell_angle_alpha 90.00
_cell_angle_beta 90.00
_cell_angle_gamma 90.00
loop_
_atom_site_label
_atom_site_type_symbol
_atom_site_fract_x
_atom_site_fract_y
_atom_site_fract_z
Sr1 Sr 0.0000 0.0000 0.0000
Ta1 Ta 0.0000 0.0000 0.5000
V1 V 0.2500 0.2500 0.2500
```

---

This record from Alexandria via LeMat-Bulk describes a relaxed NpCu3Br6Cl2 crystal. The functional is PBE.

Calculated values
The total energy is -3.937 eV/atom. The magnetic moment is 1.9 μB per formula unit. Its uncorrected formation energy is -0.69 eV/atom.

Cell and atoms, written as CIF:
```
data_NpCu3Br6Cl2
_chemical_formula_sum 'Np2 Cu6 Br12 Cl4'
_symmetry_space_group_name_H-M 'C 1 2/m 1'
_symmetry_Int_Tables_number 12
_symmetry_space_group_name_Hall '-C 2y'
_cell_length_a 16.3371
_cell_length_b 7.1617
_cell_length_c 6.3425
_cell_angle_alpha 90.00
_cell_angle_beta 90.04
_cell_angle_gamma 90.00
loop_
_atom_site_label
_atom_site_type_symbol
_atom_site_fract_x
_atom_site_fract_y
_atom_site_fract_z
Np1 Np 0.0000 0.0000 0.0000
Cu1 Cu 0.0000 0.5000 0.5000
Cu2 Cu 0.2500 0.2500 0.0000
Br1 Br 0.0675 0.2614 0.2708
Br2 Br 0.1442 0.0000 0.7798
Cl1 Cl 0.2074 0.5000 0.8290
```